# 1
Zn5Pt: single point on PBEsol structure, SCAN.

Lattice parameters (Å, degrees): 4.2707 2.8013 13.9486 90.00 90.00 90.00
Space group Amm2 (No. 38)
Inequivalent atoms, fractional coordinates:
1 Zn 0.0000 0.0000 0.0000
2 Zn 0.0000 0.0000 0.3305
3 Zn 0.5000 0.0000 0.2197
4 Zn 0.5000 0.0000 0.5520
5 Zn 0.5000 0.0000 0.8882
6 Pt 0.0000 0.0000 0.6639

Output
DFT formation energy = -0.245 eV per atom

# 2
RuClF3: single point on PBEsol structure, SCAN.

Lattice parameters (Å, degrees): 4.0356 4.0356 4.0356 90.00 90.00 90.00
Space group Pm-3m (No. 221)
Inequivalent atoms, fractional coordinates:
1 Ru 0.0000 0.0000 0.0000
2 Cl 0.5000 0.5000 0.5000
3 F 0.0000 0.0000 0.5000

Output
Raw total energy = -11.684 eV/atom

# 3
Tl2IBr: single point on PBEsol structure, SCAN.

Lattice parameters (Å, degrees): 8.5759 8.5759 8.6661 90.00 90.00 90.00
Space group I-42d (No. 122)
Inequivalent atoms, fractional coordinates:
1 Tl 0.2308 0.2500 0.1250
2 I 0.0000 0.0000 0.5000
3 Br 0.0000 0.0000 0.0000

Output
Energy above the lowest structure with this stoichiometry = 75 meV/atom

# 4
YAl3C3: single point on PBEsol structure, SCAN.

Lattice parameters (Å, degrees): 3.4148 3.4148 17.1834 90.00 90.00 120.00
Space group P6_3/mmc (No. 194)
Inequivalent atoms, fractional coordinates:
1 Y 0.0000 0.0000 0.0000
2 Al 0.3333 0.6667 0.1332
3 Al 0.3333 0.6667 0.7500
4 C 0.3333 0.6667 0.2500
5 C 0.3333 0.6667 0.5926

Output
DFT formation energy = -0.445 eV per atom

# 5
BaFe2Se: single point on PBEsol structure, SCAN.

Lattice parameters (Å, degrees): 4.2787 4.2787 9.2236 90.00 90.00 90.00
Space group I4/mmm (No. 139)
Inequivalent atoms, fractional coordinates:
1 Ba 0.0000 0.0000 0.0000
2 Fe 0.0000 0.5000 0.2500
3 Se 0.0000 0.0000 0.5000

Output
Raw total energy = -23.465 eV/atom

# 6
CsNaLi3: single point on PBEsol structure, SCAN.

Lattice parameters (Å, degrees): 6.0731 6.0731 6.0731 90.00 90.00 90.00
Space group Pm-3m (No. 221)
Inequivalent atoms, fractional coordinates:
1 Cs 0.0000 0.0000 0.0000
2 Na 0.5000 0.5000 0.5000
3 Li 0.0000 0.0000 0.5000

Output
DFT formation energy = 0.701 eV per atom
Energy above the lowest structure with this stoichiometry = 426 meV/atom